[1]
The following is a PBE calculation of a relaxed FeB3 crystal, from OQMD.

- E (eV/atom) = -6.216
- calculated volume (Å³/atom) = 6.82
- energy above the lowest structure with this stoichiometry (eV per atom) = 0.5585

Lattice parameters (Å, degrees): 4.779 4.779 4.779 90.00 90.00 90.00
Space group Fm-3m (No. 225)
One atom of each set of equivalent atoms:
Fe  0.000  0.000  0.000 x4
B  0.000  0.000  0.500 x4
B  0.250  0.250  0.250 x8

=====

[2]
The following is a PBE calculation of a relaxed Y4CoCuN2 crystal, from OQMD.

- E (eV/atom) = -7.356
- calculated volume (Å³/atom) = 18.14

Lattice parameters (Å, degrees): 3.4950 3.4950 13.7158 90.00 90.00 120.00
Space group P-6m2 (No. 187)
One atom of each set of equivalent atoms:
Y  0.0000  0.0000  0.1429 x2
Y  0.6667  0.3333  0.3453 x2
Co  0.6667  0.3333  0.0000 x1
Cu  0.0000  0.0000  0.5000 x1
N  0.3333  0.6667  0.2477 x2

=====

[3]
The following is a PBE calculation of a relaxed HoTmIn2Pt4 crystal, from OQMD.

- E (eV/atom) = -5.818
- calculated volume (Å³/atom) = 20.26

Lattice parameters (Å, degrees): 4.5672 4.5672 8.9717 90.00 90.00 120.00
Space group P-6m2 (No. 187)
One atom of each set of equivalent atoms:
Ho  0.0000  0.0000  0.0000 x1
Tm  0.6667  0.3333  0.5000 x1
In  0.3333  0.6667  0.2507 x2
Pt  0.0000  0.0000  0.3436 x2
Pt  0.6667  0.3333  0.1587 x2

=====

[4]
The following is a PBE calculation of a relaxed PrBiPt crystal, from OQMD.

- E (eV/atom) = -5.822
- calculated volume (Å³/atom) = 25.59

Lattice parameters (Å, degrees): 7.8546 7.8546 4.3101 90.00 90.00 120.00
Space group P-62m (No. 189)
One atom of each set of equivalent atoms:
Pr  0.0000  0.6066  0.0000 x3
Bi  0.0000  0.2686  0.5000 x3
Pt  0.0000  0.0000  0.0000 x1
Pt  0.3333  0.6667  0.5000 x2

=====

[5]
The following is a PBE calculation of a relaxed KAgIrSeS2 crystal, from OQMD.

- E (eV/atom) = -4.399
- calculated volume (Å³/atom) = 23.30

Lattice parameters (Å, degrees): 3.685 15.214 9.972 90.00 90.00 90.00
Space group Cmcm (No. 63)
One atom of each set of equivalent atoms:
K  0.000  0.242  0.250 x4
Ag  0.000  0.074  0.750 x4
Ir  0.000  0.500  0.000 x4
Se  0.000  0.441  0.750 x4
S  0.000  0.104  0.514 x8

=====

[6]
The following is a PBE calculation of a relaxed TmGaNiPt crystal, from OQMD.

- E (eV/atom) = -5.617
- calculated volume (Å³/atom) = 17.32
- energy above the lowest structure with this stoichiometry (eV per atom) = 0.0078

Lattice parameters (Å, degrees): 4.2625 4.2625 8.8041 90.00 90.00 120.00
Space group P-6m2 (No. 187)
One atom of each set of equivalent atoms:
Tm  0.0000  0.0000  0.0000 x1
Tm  0.3333  0.6667  0.5000 x1
Ga  0.6667  0.3333  0.2648 x2
Ni  0.0000  0.0000  0.3348 x2
Pt  0.3333  0.6667  0.1747 x2

=====

| no. | magnetization (μB per cell) |
| --- | --- |
| 1 | 0.0 |
| 2 | 0.0 |
| 3 | 0.0 |
| 4 | 0.0 |
| 5 | 0.3 |
| 6 | 0.0 |